An optimized crystal structure of Ac5SiGe2, computed with GGA-PBE.

Lattice parameters (Å, degrees): 9.503 9.503 9.503 127.41 127.41 77.58
Sites, in units of the cell vectors:
Ac: 0.000 0.000 0.000
Ac: 0.023 0.523 0.839
Ac: 0.184 0.023 0.500
Ac: 0.316 0.816 0.839
Ac: 0.477 0.316 0.500
Ac: 0.500 0.500 0.000
Ac: 0.523 0.684 0.500
Ac: 0.684 0.184 0.161
Ac: 0.816 0.977 0.500
Ac: 0.977 0.477 0.161
Si: 0.250 0.250 0.000
Si: 0.750 0.750 0.000
Ge: 0.128 0.372 0.500
Ge: 0.372 0.872 0.245
Ge: 0.628 0.128 0.755
Ge: 0.872 0.628 0.500

Output
relative energy among the computed polymorphs = 0 meV/atom
formation energy from raw total energies = -4.09 eV per formula unit
SG = No. 140

=====

An optimized crystal structure of Ho2ThCrC4, computed with GGA-PBE.

Lattice parameters (Å, degrees): 6.175 6.175 11.919 90.00 90.00 147.19
Sites, in units of the cell vectors:
Ho: 0.131 0.869 0.545
Ho: 0.131 0.869 0.955
Ho: 0.869 0.131 0.045
Ho: 0.869 0.131 0.455
Th: 0.406 0.594 0.750
Th: 0.594 0.406 0.250
Cr: 0.329 0.671 0.250
Cr: 0.671 0.329 0.750
C: 0.085 0.915 0.750
C: 0.233 0.767 0.134
C: 0.233 0.767 0.366
C: 0.500 0.500 0.000
C: 0.500 0.500 0.500
C: 0.767 0.233 0.634
C: 0.767 0.233 0.866
C: 0.915 0.085 0.250

Output
SG = No. 63
ΔE_f = -1.1 eV/f.u.

=====

An optimized crystal structure of Tm2BeCd, computed with GGA-PBE.

Lattice parameters (Å, degrees): 3.416 3.416 7.494 90.00 90.00 90.00
Sites, in units of the cell vectors:
Tm: 0.000 0.000 0.216
Tm: 0.000 0.000 0.784
Be: 0.500 0.500 0.000
Cd: 0.500 0.500 0.500

Output
relative energy among the computed polymorphs = 0 meV/atom
SG = No. 123
ΔE_f = -0.5 eV/f.u.

=====

An optimized crystal structure of La8GaOs3I4, computed with GGA-PBE.

Lattice parameters (Å, degrees): 9.594 9.594 9.594 53.42 53.42 53.42
Sites, in units of the cell vectors:
La: 0.208 0.738 0.738
La: 0.231 0.231 0.231
La: 0.262 0.262 0.792
La: 0.262 0.792 0.262
La: 0.738 0.208 0.738
La: 0.738 0.738 0.208
La: 0.769 0.769 0.769
La: 0.792 0.262 0.262
Ga: 0.500 0.500 0.500
Os: 0.000 0.000 0.500
Os: 0.000 0.500 0.000
Os: 0.500 0.000 0.000
I: 0.000 0.000 0.000
I: 0.000 0.500 0.500
I: 0.500 0.000 0.500
I: 0.500 0.500 0.000

Output
formation energy from raw total energies = -11.99 eV per formula unit
SG = No. 166

=====

An optimized crystal structure of La6Bi3TeAs2, computed with GGA-PBE.

Lattice parameters (Å, degrees): 10.217 10.217 9.173 102.93 102.93 25.81
Sites, in units of the cell vectors:
La: 0.007 0.007 0.256
La: 0.328 0.328 0.427
La: 0.330 0.330 0.900
La: 0.670 0.670 0.100
La: 0.672 0.672 0.573
La: 0.993 0.993 0.744
Bi: 0.163 0.163 0.833
Bi: 0.500 0.500 0.500
Bi: 0.837 0.837 0.167
Te: 0.500 0.500 0.000
As: 0.168 0.168 0.334
As: 0.832 0.832 0.666

Output
formation energy from raw total energies = -15.88 eV per formula unit
SG = No. 12

=====

An optimized crystal structure of LiAc3Ni8, computed with GGA-PBE.

Lattice parameters (Å, degrees): 9.111 9.111 9.111 33.13 33.13 33.13
Sites, in units of the cell vectors:
Li: 0.000 0.000 0.000
Ac: 0.122 0.122 0.122
Ac: 0.513 0.513 0.513
Ac: 0.642 0.642 0.642
Ni: 0.074 0.074 0.574
Ni: 0.074 0.574 0.074
Ni: 0.075 0.568 0.568
Ni: 0.323 0.323 0.323
Ni: 0.568 0.075 0.568
Ni: 0.568 0.568 0.075
Ni: 0.574 0.074 0.074
Ni: 0.821 0.821 0.821

Output
SG = No. 160
ΔE_f = -2.2 eV/f.u.

=====

An optimized crystal structure of In2NCl2, computed with GGA-PBE.

Lattice parameters (Å, degrees): 4.253 7.967 11.271 102.85 90.19 105.45
Sites, in units of the cell vectors:
In: 0.126 0.247 0.212
In: 0.167 0.335 0.930
In: 0.833 0.665 0.070
In: 0.874 0.753 0.788
N: 0.024 0.055 0.475
N: 0.976 0.945 0.525
Cl: 0.238 0.480 0.734
Cl: 0.448 0.893 0.164
Cl: 0.552 0.107 0.836
Cl: 0.762 0.520 0.266

Output
formation energy from raw total energies = -3.04 eV per formula unit
SG = No. 2

=====

An optimized crystal structure of LaC6N8, computed with GGA-PBE.

Lattice parameters (Å, degrees): 5.375 5.375 5.375 82.72 82.72 82.72
Sites, in units of the cell vectors:
La: 0.000 0.000 0.000
C: 0.216 0.217 0.564
C: 0.217 0.564 0.216
C: 0.436 0.784 0.783
C: 0.564 0.216 0.217
C: 0.783 0.436 0.784
C: 0.784 0.783 0.436
N: 0.027 0.355 0.698
N: 0.302 0.973 0.645
N: 0.330 0.330 0.330
N: 0.355 0.698 0.027
N: 0.645 0.302 0.973
N: 0.670 0.670 0.670
N: 0.698 0.027 0.355
N: 0.973 0.645 0.302

Output
formation energy from raw total energies = 6.61 eV per formula unit
SG = No. 148

=====

An optimized crystal structure of U2HS2, computed with GGA-PBE.

Lattice parameters (Å, degrees): 9.337 9.337 9.337 23.70 23.70 23.70
Sites, in units of the cell vectors:
U: 0.119 0.119 0.119
U: 0.881 0.881 0.881
H: 0.500 0.500 0.500
S: 0.269 0.269 0.269
S: 0.731 0.731 0.731

Output
energy = -7.469 eV per atom
SG = No. 166

=====

An optimized crystal structure of Sm2Ag6Pb, computed with GGA-PBE.

Lattice parameters (Å, degrees): 7.072 7.072 5.552 98.78 98.78 48.78
Sites, in units of the cell vectors:
Sm: 0.151 0.151 0.156
Sm: 0.849 0.849 0.844
Ag: 0.147 0.653 0.357
Ag: 0.289 0.289 0.678
Ag: 0.347 0.853 0.643
Ag: 0.653 0.147 0.357
Ag: 0.711 0.711 0.322
Ag: 0.853 0.347 0.643
Pb: 0.500 0.500 0.000

Output
SG = No. 12
ΔE_f = -1.5 eV/f.u.

=====

An optimized crystal structure of LaSmNi2H8, computed with GGA-PBE.

Lattice parameters (Å, degrees): 7.086 7.086 7.086 37.26 37.26 37.26
Sites, in units of the cell vectors:
La: 0.000 0.000 0.000
Sm: 0.500 0.500 0.500
Ni: 0.254 0.254 0.254
Ni: 0.746 0.746 0.746
H: 0.039 0.039 0.591
H: 0.039 0.591 0.039
H: 0.336 0.336 0.336
H: 0.409 0.961 0.961
H: 0.591 0.039 0.039
H: 0.664 0.664 0.664
H: 0.961 0.409 0.961
H: 0.961 0.961 0.409

Output
energy = -4.330 eV per atom
SG = No. 166

=====

An optimized crystal structure of In7Ga2, computed with GGA-PBE.

Lattice parameters (Å, degrees): 8.188 8.188 4.114 90.00 90.00 120.00
Sites, in units of the cell vectors:
In: 0.000 0.000 0.000
In: 0.000 0.340 0.690
In: 0.000 0.660 0.310
In: 0.340 0.000 0.690
In: 0.340 0.340 0.310
In: 0.660 0.000 0.310
In: 0.660 0.660 0.690
Ga: 0.333 0.667 0.000
Ga: 0.667 0.333 0.000

Output
SG = No. 162
ΔE_f = 0.7 eV/f.u.